Entry 1:
Entry from Alexandria: a PBEsol-optimized structure of TlNiW2 (meta-GGA SCAN).

Values from the calculation:
Raw total energy ... -56.145 eV per atom
Energy above the most stable polymorph in this dataset ... 6.32 kcal/mol of atoms
Calculated formation energy ... 0.832 eV/atom
D(E_F) ... 3.12 states/eV/f.u.

Cell lengths 2.7662, 5.1703, 5.2813 Å; angles 115.35, 98.47, 103.54 degrees
Closest atoms and distances in Å follow each position.
Atoms (fractional coordinates):
Ni: 0.5000 0.0000 0.0000  2 Tl 2.63, 2 Ni 2.77, 4 W 2.79
W: 0.0000 0.0000 0.5000  4 W 2.63-2.77, 2 Ni 2.79, 2 Tl 2.79
W: 0.5000 0.5000 0.5000  4 W 2.63-2.77, 2 Tl 2.79, 2 Ni 2.79
Tl: 0.0000 0.5000 0.0000  2 Ni 2.63, 2 Tl 2.77, 4 W 2.79

***

Entry 2:
Entry from Alexandria: a PBEsol-optimized structure of TlFeS2F (meta-GGA SCAN).

Values from the calculation:
Raw formation energy ... 0.92 eV/atom
Raw total energy ... -21.734 eV per atom
D(E_F) ... 9.02 states/eV/f.u.

Cell lengths 4.9084, 4.9084, 5.3180 Å; angles 90.00, 90.00, 90.00 degrees
Closest atoms and distances in Å follow each position.
Atoms (fractional coordinates):
S: 0.5000 0.0000 0.0000  2 Tl 2.45
S: 0.0000 0.5000 0.0000  2 Tl 2.45
Tl: 0.0000 0.0000 0.0000  4 S 2.45, 2 Fe 2.66
Fe: 0.0000 0.0000 0.5000  2 Tl 2.66
F: 0.5000 0.5000 0.5000  4 Fe 3.47, 8 S 3.62

***

Entry 3:
Entry from Alexandria: a PBEsol-optimized structure of CaHf3Ge (meta-GGA SCAN).

Values from the calculation:
Raw total energy ... -42.989 eV per atom
Energy above the most stable polymorph in this dataset ... 0.00 kcal/mol of atoms
Calculated formation energy ... 0.365 eV/atom
D(E_F) ... 5.60 states/eV/f.u.

Cell lengths 5.0492, 5.0492, 5.0492 Å; angles 90.00, 90.00, 90.00 degrees
Closest atoms and distances in Å follow each position.
Atoms (fractional coordinates):
Hf: 0.0000 0.0000 0.5000  2 Ge 2.52
Hf: 0.5000 0.0000 0.0000  2 Ge 2.52
Hf: 0.0000 0.5000 0.0000  2 Ge 2.52
Ge: 0.0000 0.0000 0.0000  6 Hf 2.52
Ca: 0.5000 0.5000 0.5000  12 Hf 3.57

***

Entry 4:
Entry from Alexandria: a PBEsol-optimized structure of RhI3O (meta-GGA SCAN).

Values from the calculation:
Raw formation energy ... 0.70 eV/atom
Raw total energy ... -29.348 eV per atom
D(E_F) ... 6.78 states/eV/f.u.

Cell lengths 5.2708, 5.2708, 5.2708 Å; angles 90.00, 90.00, 90.00 degrees
Closest atoms and distances in Å follow each position.
Atoms (fractional coordinates):
O: 0.5000 0.5000 0.5000  12 I 3.73
I: 0.5000 0.0000 0.0000  2 Rh 2.64
I: 0.0000 0.5000 0.0000  2 Rh 2.64
I: 0.0000 0.0000 0.5000  2 Rh 2.64
Rh: 0.0000 0.0000 0.0000  6 I 2.64

***

Entry 5:
Entry from Alexandria: a PBEsol-optimized structure of OsI2N2 (meta-GGA SCAN).

Values from the calculation:
Raw formation energy ... 1.25 eV/atom
Raw total energy ... -31.543 eV per atom
D(E_F) ... 2.05 states/eV/f.u.

Cell lengths 3.9939, 3.9939, 5.7817 Å; angles 90.00, 90.00, 90.00 degrees
Closest atoms and distances in Å follow each position.
Atoms (fractional coordinates):
Os: 0.0000 0.0000 0.0000  4 N 2.00
N: 0.0000 0.5000 0.0000  2 Os 2.00
N: 0.5000 0.0000 0.0000  2 Os 2.00
I: 0.0000 0.0000 0.5000  4 I 2.82, 2 Os 2.89
I: 0.5000 0.5000 0.5000  4 I 2.82

***

Entry 6:
Entry from Alexandria: a PBEsol-optimized structure of KFe3H (meta-GGA SCAN).

Values from the calculation:
Raw total energy ... -12.241 eV per atom
D(E_F) ... 1.60 states/eV/f.u.

Cell lengths 3.9680, 3.9680, 3.9680 Å; angles 90.00, 90.00, 90.00 degrees
Closest atoms and distances in Å follow each position.
Atoms (fractional coordinates):
Fe: 0.5000 0.0000 0.0000  2 H 1.98
Fe: 0.0000 0.5000 0.0000  2 H 1.98
Fe: 0.0000 0.0000 0.5000  2 H 1.98
K: 0.5000 0.5000 0.5000  12 Fe 2.81
H: 0.0000 0.0000 0.0000  6 Fe 1.98

***

Entry 7:
Entry from Alexandria: a PBEsol-optimized structure of Sr2InH2 (meta-GGA SCAN).

Values from the calculation:
Raw total energy ... -17.532 eV per atom
D(E_F) ... 1.56 states/eV/f.u.

Cell lengths 3.9560, 3.9560, 7.7037 Å; angles 104.88, 104.88, 90.00 degrees
Closest atoms and distances in Å follow each position.
Atoms (fractional coordinates):
Sr: 0.6541 0.6541 0.3083  4 H 2.41
Sr: 0.3459 0.3459 0.6917  4 H 2.41
H: 0.7500 0.2500 0.5000  4 Sr 2.41
H: 0.2500 0.7500 0.5000  4 Sr 2.41
In: 0.0000 0.0000 0.0000  8 Sr 3.57, 4 In 3.96

***

Entry 8:
Entry from Alexandria: a PBEsol-optimized structure of Co5Rh (meta-GGA SCAN).

Values from the calculation:
Raw total energy ... -20.038 eV per atom
Calculated formation energy ... 0.011 eV/atom
D(E_F) ... 4.17 states/eV/f.u.

Cell lengths 3.5264, 3.5384, 5.5815 Å; angles 90.00, 108.41, 90.00 degrees
Closest atoms and distances in Å follow each position.
Atoms (fractional coordinates):
Co: 0.3286 0.0000 0.6572  10 Co 2.43-2.53, 2 Rh 2.53
Co: 0.0000 0.0000 0.0000  4 Rh 2.50, 8 Co 2.53
Co: 0.6714 0.0000 0.3428  10 Co 2.43-2.53, 2 Rh 2.53
Co: 0.1711 0.5000 0.3422  10 Co 2.43-2.53, 2 Rh 2.53
Co: 0.8289 0.5000 0.6578  10 Co 2.43-2.53, 2 Rh 2.53
Rh: 0.5000 0.5000 0.0000  12 Co 2.50-2.53

***

Entry 9:
Entry from Alexandria: a PBEsol-optimized structure of CsHRu3 (meta-GGA SCAN).

Values from the calculation:
Raw total energy ... -25.668 eV per atom
D(E_F) ... 4.30 states/eV/f.u.

Cell lengths 4.9016, 4.9016, 4.9016 Å; angles 90.00, 90.00, 90.00 degrees
Closest atoms and distances in Å follow each position.
Atoms (fractional coordinates):
Ru: 0.0000 0.0000 0.5000  2 Cs 2.45
Ru: 0.5000 0.0000 0.0000  2 Cs 2.45
Ru: 0.0000 0.5000 0.0000  2 Cs 2.45
H: 0.5000 0.5000 0.5000  12 Ru 3.47
Cs: 0.0000 0.0000 0.0000  6 Ru 2.45

***

Entry 10:
Entry from Alexandria: a PBEsol-optimized structure of Y2ZrCo (meta-GGA SCAN).

Values from the calculation:
Raw total energy ... -25.574 eV per atom
Energy above the most stable polymorph in this dataset ... 0.00 kcal/mol of atoms
Calculated formation energy ... 0.349 eV/atom
D(E_F) ... 5.18 states/eV/f.u.

Cell lengths 4.2670, 4.2670, 5.5815 Å; angles 112.47, 112.47, 90.00 degrees
Closest atoms and distances in Å follow each position.
Atoms (fractional coordinates):
Y: 0.2500 0.7500 0.5000  4 Y 3.02, 4 Zr 3.17, 4 Co 3.17
Y: 0.7500 0.2500 0.5000  4 Y 3.02, 4 Co 3.17, 4 Zr 3.17
Zr: 0.5000 0.5000 0.0000  4 Co 3.02, 8 Y 3.17
Co: 0.0000 0.0000 0.0000  4 Zr 3.02, 8 Y 3.17

***

Entry 11:
Entry from Alexandria: a PBEsol-optimized structure of Hf3NiAs (meta-GGA SCAN).

Values from the calculation:
Raw total energy ... -44.368 eV per atom
Calculated formation energy ... 0.508 eV/atom
D(E_F) ... 2.78 states/eV/f.u.

Cell lengths 4.8198, 4.8198, 4.8198 Å; angles 90.00, 90.00, 90.00 degrees
Closest atoms and distances in Å follow each position.
Atoms (fractional coordinates):
Hf: 0.0000 0.5000 0.0000  2 As 2.41
Hf: 0.0000 0.0000 0.5000  2 As 2.41
Hf: 0.5000 0.0000 0.0000  2 As 2.41
Ni: 0.5000 0.5000 0.5000  12 Hf 3.41
As: 0.0000 0.0000 0.0000  6 Hf 2.41

***

Entry 12:
Entry from Alexandria: a PBEsol-optimized structure of TcAs3S (meta-GGA SCAN).

Values from the calculation:
Raw formation energy ... 1.14 eV/atom
Raw total energy ... -19.909 eV per atom
D(E_F) ... 2.18 states/eV/f.u.

Cell lengths 4.5858, 4.5858, 4.5858 Å; angles 90.00, 90.00, 90.00 degrees
Closest atoms and distances in Å follow each position.
Atoms (fractional coordinates):
As: 0.0000 0.5000 0.0000  2 S 2.29
As: 0.5000 0.0000 0.0000  2 S 2.29
As: 0.0000 0.0000 0.5000  2 S 2.29
S: 0.0000 0.0000 0.0000  6 As 2.29
Tc: 0.5000 0.5000 0.5000  12 As 3.24

***

Entry 13:
Entry from Alexandria: a PBEsol-optimized structure of CsC3 (meta-GGA SCAN).

Values from the calculation:
Raw total energy ... -14.799 eV per atom
Energy above the most stable polymorph in this dataset ... 30.65 kcal/mol of atoms
Calculated formation energy ... 2.229 eV/atom
D(E_F) ... 1.22 states/eV/f.u.

Cell lengths 3.3774, 3.3774, 6.3633 Å; angles 90.00, 90.00, 120.00 degrees
Closest atoms and distances in Å follow each position.
Atoms (fractional coordinates):
Cs: 0.3333 0.6667 0.5000  8 C 3.17-3.18, 6 Cs 3.38
C: 0.3333 0.6667 0.0000  6 C 2.06
C: 0.0000 0.0000 0.1067  1 C 1.36
C: 0.0000 0.0000 0.8933  1 C 1.36

***

Entry 14:
Entry from Alexandria: a PBEsol-optimized structure of Cd2PtWSe (meta-GGA SCAN).

Values from the calculation:
Raw formation energy ... 0.76 eV/atom
Raw total energy ... -43.396 eV per atom
D(E_F) ... 1.77 states/eV/f.u.

Cell lengths 4.8472, 5.0361, 5.0361 Å; angles 90.00, 90.00, 90.00 degrees
Closest atoms and distances in Å follow each position.
Atoms (fractional coordinates):
Cd: 0.0000 0.0000 0.5000  2 Pt 2.52
Cd: 0.0000 0.5000 0.0000  2 Pt 2.52
Se: 0.5000 0.5000 0.5000  8 Cd 3.49, 4 W 3.56
Pt: 0.0000 0.0000 0.0000  2 W 2.42, 4 Cd 2.52
W: 0.5000 0.0000 0.0000  2 Pt 2.42

***

Entry 15:
Entry from Alexandria: a PBEsol-optimized structure of Mg2ZrCu (meta-GGA SCAN).

Values from the calculation:
Raw total energy ... -13.973 eV per atom
Calculated formation energy ... -0.011 eV/atom
D(E_F) ... 2.39 states/eV/f.u.

Cell lengths 2.9559, 4.8532, 5.8915 Å; angles 114.32, 104.53, 90.00 degrees
Closest atoms and distances in Å follow each position.
Atoms (fractional coordinates):
Zr: 0.5000 0.0000 0.0000  4 Cu 2.84, 2 Zr 2.96
Mg: 0.2855 0.2855 0.5710  2 Cu 2.66, 6 Mg 2.93-2.96
Mg: 0.7145 0.7145 0.4290  2 Cu 2.66, 6 Mg 2.93-2.96
Cu: 0.0000 0.5000 0.0000  4 Mg 2.66, 4 Zr 2.84, 2 Cu 2.96